{
  "formula": "TmSeBr",
  "functional": "PBE",
  "state": "optimized geometry",
  "cell": [[6.534, 0.000, 0.000], [-3.267, 5.658, 0.000], [0.000, 0.000, 8.391]],
  "species": ["Tm", "Tm", "Tm", "Se", "Se", "Se", "Br", "Br", "Br"],
  "frac_coords": [[0.098, 0.334, 0.000], [0.236, 0.902, 0.333], [0.666, 0.764, 0.667], [0.028, 0.696, 0.604], [0.304, 0.332, 0.271], [0.668, 0.972, 0.938], [0.350, 0.312, 0.748], [0.688, 0.038, 0.415], [0.962, 0.650, 0.082]],
  "formation_energy_uncorrected_kcal_per_mol_atoms": -34.9,
  "density_g_cm3": 5.264
}